No. 1
DFT (PBE) results for SrSb2Br after structural relaxation.

```
SrSb2Br
1.0
4.896 0.028 0.008
2.982 3.883 0.008
2.047 1.016 8.187
Sr Sb Br
1 2 1
Direct
0.498 0.498 0.494
0.977 0.977 0.096
0.254 0.254 0.234
0.770 0.770 0.676
```

Its distance to the lowest polymorph of the same formula is 41 meV per atom. The calculation puts the density of states at the Fermi level at 1.49 states/eV/cell. For the volume, the calculation gives 38.72 A^3/atom. The uncorrected formation energy is -852 meV/atom.


No. 2
DFT (PBE) results for SrSbBr2 after structural relaxation.

```
SrSbBr2
1.0
5.935 0.011 0.000
1.593 5.717 0.000
-3.764 -2.864 3.585
Br Sb Sr
2 1 1
Direct
0.000 0.000 0.000
0.500 0.500 0.000
0.250 0.750 0.500
0.750 0.250 0.500
```

Its distance to the lowest polymorph of the same formula is 305 meV per atom. The calculation puts the density of states at the Fermi level at 4.14 states/eV/cell. For the volume, the calculation gives 30.40 A^3/atom. The uncorrected formation energy is -770 meV/atom.


No. 3
DFT (PBE) results for SrSbBr2 after structural relaxation.

```
SrSbBr2
1.0
10.277 0.000 0.000
9.422 4.104 0.000
9.422 1.963 3.604
Sr Br Sb
1 2 1
Direct
0.745 0.745 0.745
0.234 0.234 0.234
0.019 0.019 0.019
0.502 0.502 0.502
```

Its distance to the lowest polymorph of the same formula is 371 meV per atom. The calculation puts the density of states at the Fermi level at 3.13 states/eV/cell. For the volume, the calculation gives 38.01 A^3/atom. The uncorrected formation energy is -704 meV/atom.


No. 4
DFT (PBE) results for SrSbBr2 after structural relaxation.

```
SrSbBr2
1.0
-3.018 -1.231 5.417
2.764 -5.094 2.525
0.753 6.058 -1.645
Br Sr Sb
2 1 1
Direct
0.507 0.507 0.000
0.993 0.993 0.000
0.750 0.250 0.500
0.250 0.750 0.500
```

Its distance to the lowest polymorph of the same formula is 156 meV per atom. The calculation puts the density of states at the Fermi level at 0.86 states/eV/cell. For the volume, the calculation gives 31.10 A^3/atom. The uncorrected formation energy is -919 meV/atom.